No. 1
DFT (PBE-GGA) results for Co4AsW after structural relaxation.

a = 6.620 Å, b = 6.620 Å, c = 6.620 Å
α = 90.00°, β = 90.00°, γ = 90.00°
Space group F-43m (No. 216)
Symmetry-distinct sites (fractional):
Co (0.125, 0.125, 0.125)
As (0.000, 0.000, 0.500)
W (0.250, 0.250, 0.750)

Results
energy of formation from the pure elements = 0.2748 eV per atom
total moment = 0.025 Bohr magnetons per cell
DOS(E_F) = 7.7 states/eV/f.u.
electronic total energy = -7.40 eV per atom

No. 2
DFT (PBE-GGA) results for LaReSb2 after structural relaxation.

a = 4.442 Å, b = 4.442 Å, c = 9.737 Å
α = 90.00°, β = 90.00°, γ = 90.00°
Space group I-4m2 (No. 119)
Symmetry-distinct sites (fractional):
La (0.000, 0.000, 0.000)
Re (0.000, 0.500, 0.750)
Sb (0.000, 0.000, 0.500)
Sb (0.000, 0.500, 0.250)

Results
ΔE_f (raw) = 0.2653 eV/atom
total moment = 2.297 Bohr magnetons per cell
DOS(E_F) = 4.5 states/eV/f.u.
electronic total energy = -6.14 eV per atom
ΔE to the lowest computed polymorph = 0.5288 eV/atom

What is the formula in the second record?
LaReSb2

Which value of DOS(E_F) does entry 2 give?
4.5 states/eV/f.u.

Look up the electronic total energy of the first one.
-7.40 eV per atom

Number 1 is which compound?
Co4AsW